No. 1
Below is an optimized crystal structure of ZrNbCu2H, with properties calculated at the GGA-PBE level.

Final energy = -5.491 eV per atom

Unit cell a=4.8448 b=3.4296 c=4.8448 alpha=90.00 beta=90.00 gamma=90.00
Last column: nearest neighbours and their distance in Å.
Fractional positions:
H1 0.0000 0.5000 0.0000  2 Nb 1.71
Nb1 0.0000 0.0000 0.0000  2 H 1.71
Cu1 0.0000 0.0000 0.5000  2 Nb 2.42
Cu2 0.5000 0.0000 0.0000  2 Nb 2.42
Zr1 0.5000 0.5000 0.5000  8 Cu 2.97

No. 2
Below is an optimized crystal structure of Be2GaSnB, with properties calculated at the GGA-PBE level.

Calculated formation energy = 1.140 eV/atom

Unit cell a=4.4892 b=4.0057 c=4.4892 alpha=90.00 beta=90.00 gamma=90.00
Last column: nearest neighbours and their distance in Å.
Fractional positions:
Be1 0.0000 0.0000 0.5000  2 Ga 2.24
Be2 0.5000 0.0000 0.0000  2 Ga 2.24
B1 0.0000 0.5000 0.0000  2 Ga 2.00
Sn1 0.5000 0.5000 0.5000  8 Be 3.01, 4 B 3.17
Ga1 0.0000 0.0000 0.0000  2 B 2.00